The following is a DFT calculation (GGA-PBE) of a relaxed structure of Mg8Hg2Pd.

Cell lengths 8.243, 8.243, 6.720 Å; angles 112.11, 112.11, 33.34 degrees
Sites, in units of the cell vectors:
Mg  0.018  0.018  0.288
Mg  0.187  0.187  0.754
Mg  0.344  0.344  0.573
Mg  0.400  0.400  0.073
Mg  0.600  0.600  0.927
Mg  0.656  0.656  0.427
Mg  0.813  0.813  0.246
Mg  0.982  0.982  0.712
Hg  0.180  0.180  0.180
Hg  0.820  0.820  0.820
Pd  0.500  0.500  0.500

Values from the calculation:
Space group ... C2/m
Density of states at the Fermi level ... 2.95 states/eV per cell
M_tot ... 0.00 Bohr magnetons per cell
Energy relative to the elements ... -0.256 eV/atom